Computed, not measured: ScAlGa2 after structural relaxation at the PBE level of DFT.

extended XYZ file:
```
4
Lattice="2.121 1.224 4.790 -2.121 1.224 4.790 0.000 -2.449 4.790" Properties=species:S:1:pos:R:3 pbc="T T T"
Sc 0.000 0.000 0.000
Al 0.000 0.000 7.184
Ga 0.000 0.000 3.324
Ga 0.000 0.000 11.045
```

Computed properties:
For the final energy, the calculation gives -0.317 Ry per atom. The calculation puts the formation enthalpy at 0 K at -27 kJ/mol of atoms. The density of states at the Fermi level comes out at 0.4410 states/eV per atom.


Computed, not measured: TbScCuPt after structural relaxation at the PBE level of DFT.

extended XYZ file:
```
4
Lattice="4.341 0.000 0.000 0.000 1.810 5.189 0.000 -1.810 5.189" Properties=species:S:1:pos:R:3 pbc="T T T"
Tb 0.000 0.000 0.000
Sc 2.171 0.000 2.905
Cu 2.171 0.000 5.868
Pt 0.000 0.000 7.510
```

Computed properties:
For the final energy, the calculation gives -0.443 Ry per atom. The calculation puts the polymorph energy (0 for the lowest one) at 0.0 meV per atom. The calculation puts the formation enthalpy at 0 K at -73 kJ/mol of atoms. The density of states at the Fermi level comes out at 0.6178 states/eV per atom.


Q: Which value of density of states at the Fermi level does entry 1 give?
A: 0.4410 states/eV per atom